La3Th2PaP6 | Alexandria | GGA-PBE | optimized geometry; energy relative to the elements = -148.0 kJ per mole of atoms
1.0
7.2117 -0.0018 0.0005
-3.6057 6.2456 0.0005
-1.2025 -2.0820 6.8390
La Th Pa P
3 2 1 6
Direct
0.1683 0.8317 0.5000
0.8317 0.1683 0.5000
0.5000 0.5000 0.5000
0.3337 0.6663 0.0000
0.6663 0.3337 0.0000
0.0000 0.0000 0.0000
0.9218 0.5984 0.7652
0.7555 0.7555 0.2351
0.0782 0.4016 0.2348
0.5984 0.9218 0.7652
0.2445 0.2445 0.7649
0.4016 0.0782 0.2348